(1)
A crystal of ZrScCl2 relaxed with PBEsol, computed with meta-GGA SCAN.

Cell lengths 3.378, 3.378, 9.277 Å; angles 79.51, 79.51, 60.00 degrees
Sites, in units of the cell vectors:
1 Cl 0.768 0.768 0.695
2 Cl 0.983 0.983 0.052
3 Zr 0.253 0.253 0.242
4 Sc 0.496 0.496 0.512

raw formation energy = -1.540 eV per atom
SG = No. 160
DOS at the Fermi energy = 2.13 states/eV/f.u.


(2)
A crystal of Tb5Tl3 relaxed with PBEsol, computed with meta-GGA SCAN.

Cell lengths 6.505, 8.932, 8.932 Å; angles 120.00, 90.00, 90.00 degrees
Sites, in units of the cell vectors:
1 Tb 0.500 0.667 0.333
2 Tb 0.750 0.235 0.000
3 Tb 0.250 0.765 0.000
4 Tb 0.000 0.667 0.333
5 Tb 0.000 0.333 0.667
6 Tb 0.250 0.235 0.235
7 Tb 0.250 0.000 0.765
8 Tb 0.500 0.333 0.667
9 Tb 0.750 0.765 0.765
10 Tb 0.750 0.000 0.235
11 Tl 0.750 0.598 0.000
12 Tl 0.250 0.402 0.000
13 Tl 0.750 0.402 0.402
14 Tl 0.250 0.598 0.598
15 Tl 0.250 0.000 0.402
16 Tl 0.750 0.000 0.598

SG = No. 193
DOS at the Fermi energy = 9.85 states/eV/f.u.
E_form = -0.518 eV per atom
relative energy among the computed polymorphs = 0.0 kJ/mol of atoms